1.
GGA-PBE Tb6SbS4, optimized geometry; mass density = 7.7 g/cm³; formation energy from raw total energies = -1.680 eV per atom; M_tot = 0.00 μB per cell; Fermi-level density of states = 15.3 states/eV per cell
1.0
4.0140 0.0000 0.0000
-2.0070 6.4563 0.0000
0.0000 0.0000 20.1143
Tb Sb S
12 2 8
Direct
0.5000 0.0000 0.0000 Tb
0.5000 0.0000 0.5000 Tb
0.0430 0.0860 0.3412 Tb
0.9570 0.9140 0.6588 Tb
0.9570 0.9140 0.8412 Tb
0.0430 0.0860 0.1588 Tb
0.7720 0.5440 0.4126 Tb
0.2280 0.4560 0.5874 Tb
0.2280 0.4560 0.9126 Tb
0.7720 0.5440 0.0874 Tb
0.3444 0.6889 0.2500 Tb
0.6556 0.3111 0.7500 Tb
0.6646 0.3293 0.2500 Sb
0.3354 0.6707 0.7500 Sb
0.8606 0.7211 0.5380 S
0.4082 0.8164 0.1223 S
0.1394 0.2789 0.4620 S
0.5918 0.1836 0.8777 S
0.8606 0.7211 0.9620 S
0.1394 0.2789 0.0380 S
0.5918 0.1836 0.6223 S
0.4082 0.8164 0.3777 S



2.
GGA-PBE KBaTa2, optimized geometry; offset from the most stable computed form = 64.6 kJ/mol of atoms; mass density = 8.4 g/cm³; M_tot = 0.00 μB per cell; Fermi-level density of states = 5.6 states/eV per cell
1.0
-2.7481 1.2422 0.6152
0.1154 -2.9016 -1.0204
0.7972 -4.2089 12.0590
Ba K Ta
1 1 2
Direct
0.5000 0.5000 0.2500 Ba
0.5000 0.5000 0.7500 K
0.0000 0.0000 0.0074 Ta
0.0000 0.0000 0.4926 Ta



3.
GGA-PBE KCrCl2, optimized geometry; offset from the most stable computed form = 23.0 kJ/mol of atoms; mass density = 2.3 g/cm³; formation energy from raw total energies = -0.750 eV per atom; M_tot = 5.00 μB per cell; Fermi-level density of states = 0.7 states/eV per cell
1.0
-3.2434 -7.0765 -0.0448
0.4259 -6.4331 -4.3627
3.5199 5.7768 3.8520
Cr K Cl
1 1 2
Direct
0.5000 0.5000 0.0000 Cr
0.7500 0.2500 0.5000 K
0.0000 0.0000 0.0000 Cl
0.2500 0.7500 0.5000 Cl



4.
GGA-PBE Ti2TcMo, optimized geometry; offset from the most stable computed form = 0.0 kJ/mol of atoms; mass density = 7.7 g/cm³; M_tot = 0.00 μB per cell; Fermi-level density of states = 3.6 states/eV per cell
1.0
-2.7310 0.2786 3.3369
0.9842 -2.7834 1.0361
2.3784 0.8268 4.6773
Ti Tc Mo
2 1 1
Direct
0.1534 0.1513 0.3137 Ti
0.4195 0.9173 0.7812 Ti
0.9076 0.4053 0.8050 Tc
0.6724 0.6703 0.2759 Mo



5.
GGA-PBE RbAgBr3, optimized geometry; mass density = 4.5 g/cm³; formation energy from raw total energies = -0.789 eV per atom; M_tot = 0.00 μB per cell; Fermi-level density of states = 4.9 states/eV per cell
1.0
-2.7793 -0.9292 4.4451
5.1511 -6.3086 1.9020
4.2371 4.5347 3.5657
Br Rb Ag
6 2 2
Direct
0.9984 0.0000 0.7306 Br
0.0016 0.0000 0.2694 Br
0.9984 0.5000 0.7306 Br
0.0016 0.5000 0.2694 Br
0.5001 0.2500 0.0002 Br
0.4999 0.7500 0.9998 Br
0.5008 0.2500 0.5001 Rb
0.4992 0.7500 0.4999 Rb
0.0001 0.2500 0.0001 Ag
0.9999 0.7500 0.9999 Ag



6.
GGA-PBE SmPaVN3, optimized geometry; mass density = 8.2 g/cm³; formation energy from raw total energies = -1.231 eV per atom; M_tot = 0.00 μB per cell; Fermi-level density of states = 6.4 states/eV per cell
1.0
3.4886 0.0000 0.0000
0.0000 7.0723 0.8422
0.0000 -1.9310 7.6040
Sm Pa V N
2 2 2 6
Direct
0.7500 0.8463 0.8429 Sm
0.2500 0.1537 0.1571 Sm
0.2500 0.6456 0.1694 Pa
0.7500 0.3544 0.8306 Pa
0.2500 0.0821 0.5986 V
0.7500 0.9179 0.4014 V
0.2500 0.8306 0.4649 N
0.7500 0.8824 0.1502 N
0.7500 0.4182 0.1263 N
0.7500 0.1694 0.5351 N
0.2500 0.5818 0.8737 N
0.2500 0.1176 0.8498 N



7.
GGA-PBE Tb4SmTh5, optimized geometry; mass density = 10.0 g/cm³; electronic total energy = -6.00 eV/atom; M_tot = 0.00 μB per cell; Fermi-level density of states = 14.0 states/eV per cell
1.0
-3.0706 -1.6071 0.9386
3.1442 -2.5970 5.8395
-2.6992 11.7672 4.4499
Tb Sm Th
4 1 5
Direct
0.2992 0.8979 0.5983 Tb
0.8994 0.6919 0.7989 Tb
0.7008 0.1021 0.4017 Tb
0.1006 0.3081 0.2011 Tb
0.5000 0.0000 0.0000 Sm
0.7000 0.6013 0.4000 Th
0.8994 0.2078 0.7988 Th
0.1006 0.7922 0.2012 Th
0.5000 0.5000 0.0000 Th
0.3000 0.3987 0.6000 Th



8.
GGA-PBE InCoS2Cl, optimized geometry; offset from the most stable computed form = 0.0 kJ/mol of atoms; mass density = 4.4 g/cm³; formation energy from raw total energies = -0.055 eV per atom; M_tot = 2.67 μB per cell; Fermi-level density of states = 4.7 states/eV per cell
1.0
4.4653 0.0000 0.0000
0.0000 4.4653 0.0000
0.0000 0.0000 5.1160
S Cl Co In
2 1 1 1
Direct
0.0000 0.5000 0.0000 S
0.5000 0.0000 0.0000 S
0.0000 0.0000 0.5000 Cl
0.0000 0.0000 0.0000 Co
0.5000 0.5000 0.5000 In



Question: Which value of M_tot does entry 2 give?
Answer: 0.00 μB per cell